one) A relaxed Sr2TiMnO6 crystal, computed with GGA-PBEsol.

Computed properties:
Spin magnetization in μB/f.u.: 2.98

Lattice parameters (Å, degrees): 7.681 7.681 7.681 90.00 90.00 90.00
Fractional positions:
Sr (0.247, 0.247, 0.247)
Sr (0.247, 0.247, 0.753)
Sr (0.247, 0.753, 0.247)
Sr (0.247, 0.753, 0.753)
Sr (0.753, 0.247, 0.247)
Sr (0.753, 0.247, 0.753)
Sr (0.753, 0.753, 0.247)
Sr (0.753, 0.753, 0.753)
Ti (0.000, 0.500, 0.500)
Ti (0.500, 0.000, 0.500)
Ti (0.500, 0.500, 0.000)
Ti (0.500, 0.500, 0.500)
Mn (0.000, 0.000, 0.000)
Mn (0.000, 0.000, 0.500)
Mn (0.000, 0.500, 0.000)
Mn (0.500, 0.000, 0.000)
O (0.000, 0.000, 0.249)
O (0.000, 0.000, 0.751)
O (0.000, 0.245, 0.500)
O (0.000, 0.249, 0.000)
O (0.000, 0.500, 0.245)
O (0.000, 0.500, 0.755)
O (0.000, 0.751, 0.000)
O (0.000, 0.755, 0.500)
O (0.245, 0.000, 0.500)
O (0.245, 0.500, 0.000)
O (0.249, 0.000, 0.000)
O (0.249, 0.500, 0.500)
O (0.500, 0.000, 0.245)
O (0.500, 0.000, 0.755)
O (0.500, 0.245, 0.000)
O (0.500, 0.249, 0.500)
O (0.500, 0.500, 0.249)
O (0.500, 0.500, 0.751)
O (0.500, 0.751, 0.500)
O (0.500, 0.755, 0.000)
O (0.751, 0.000, 0.000)
O (0.751, 0.500, 0.500)
O (0.755, 0.000, 0.500)
O (0.755, 0.500, 0.000)

two) A relaxed Sr2TiMnO6 crystal, computed with GGA-PBEsol.

Computed properties:
Spin magnetization in μB/f.u.: 3.00

Lattice parameters (Å, degrees): 5.421 5.421 5.421 60.00 60.00 60.00
Fractional positions:
Sr (0.250, 0.250, 0.250)
Sr (0.750, 0.750, 0.750)
Ti (0.000, 0.000, 0.000)
Mn (0.500, 0.500, 0.500)
O (0.254, 0.254, 0.746)
O (0.254, 0.746, 0.254)
O (0.254, 0.746, 0.746)
O (0.746, 0.254, 0.254)
O (0.746, 0.254, 0.746)
O (0.746, 0.746, 0.254)

Quick one: most stable of them? two)

one) A relaxed Tl2HgCl crystal, computed with GGA-PBEsol.

Computed properties:
Spin magnetization in μB/f.u.: 0.00

Lattice parameters (Å, degrees): 7.511 7.511 7.511 90.00 90.00 90.00
Fractional positions:
Tl (0.250, 0.250, 0.250)
Tl (0.250, 0.250, 0.750)
Tl (0.250, 0.750, 0.250)
Tl (0.250, 0.750, 0.750)
Tl (0.750, 0.250, 0.250)
Tl (0.750, 0.250, 0.750)
Tl (0.750, 0.750, 0.250)
Tl (0.750, 0.750, 0.750)
Hg (0.000, 0.000, 0.000)
Hg (0.000, 0.500, 0.500)
Hg (0.500, 0.000, 0.500)
Hg (0.500, 0.500, 0.000)
Cl (0.000, 0.000, 0.500)
Cl (0.000, 0.500, 0.000)
Cl (0.500, 0.000, 0.000)
Cl (0.500, 0.500, 0.500)

two) A relaxed Tl2HgCl crystal, computed with GGA-PBEsol.

Computed properties:
Spin magnetization in μB/f.u.: 0.00

Lattice parameters (Å, degrees): 5.382 5.382 3.574 90.00 90.00 90.00
Fractional positions:
Tl (0.000, 0.500, 0.000)
Tl (0.500, 0.000, 0.000)
Hg (0.000, 0.000, 0.500)
Cl (0.500, 0.500, 0.500)

Quick one: most stable of them? two)

one) A relaxed MgTc crystal, computed with GGA-PBEsol.

Computed properties:
Spin magnetization in μB/f.u.: 0.00

Lattice parameters (Å, degrees): 8.732 2.782 5.236 90.00 94.28 90.00
Fractional positions:
Mg (0.122, 0.000, 0.375)
Mg (0.378, 0.500, 0.625)
Mg (0.622, 0.500, 0.375)
Mg (0.878, 0.000, 0.625)
Tc (0.123, 0.500, 0.907)
Tc (0.377, 0.000, 0.093)
Tc (0.623, 0.000, 0.907)
Tc (0.877, 0.500, 0.093)

two) A relaxed MgTc crystal, computed with GGA-PBEsol.

Computed properties:
Spin magnetization in μB/f.u.: 0.00

Lattice parameters (Å, degrees): 3.168 4.654 8.812 90.00 90.00 90.00
Fractional positions:
Mg (0.000, 0.250, 0.113)
Mg (0.000, 0.750, 0.887)
Mg (0.500, 0.250, 0.387)
Mg (0.500, 0.750, 0.613)
Tc (0.000, 0.250, 0.649)
Tc (0.000, 0.750, 0.351)
Tc (0.500, 0.250, 0.851)
Tc (0.500, 0.750, 0.149)

Quick one: most stable of them? two)